1.
## Cd2AuN2 (GGA-PBE)

Data for Cd2AuN2 after structural relaxation.

Lattice parameters (Å, degrees): 3.1518 3.1518 13.5015 95.86 95.86 90.04
Positions (direct):
Cd 0.0644 0.0644 0.1468
Cd 0.9356 0.9356 0.8532
Au 0.5000 0.5000 0.0000
N 0.4824 0.4824 0.4583
N 0.5176 0.5176 0.5417

E_tot (eV/atom): -4.25



2.
## CdAu3N (GGA-PBE)

Data for CdAu3N after structural relaxation.

Lattice parameters (Å, degrees): 4.4911 4.4911 4.4911 90.00 90.00 90.00
Positions (direct):
Cd 0.0000 0.0000 0.0000
Au 0.0000 0.5000 0.5000
Au 0.5000 0.0000 0.5000
Au 0.5000 0.5000 0.0000
N 0.5000 0.5000 0.5000

E_tot (eV/atom): -3.13



3.
## Cd3AuN (GGA-PBE)

Data for Cd3AuN after structural relaxation.

Lattice parameters (Å, degrees): 5.3516 5.7160 7.5709 70.49 77.83 64.45
Positions (direct):
Cd 0.0000 0.0000 0.0000
Cd 0.0839 0.9861 0.5094
Cd 0.3285 0.4233 0.9912
Cd 0.4584 0.1961 0.6731
Cd 0.6591 0.6079 0.1808
Cd 0.7491 0.5897 0.6750
Au 0.1416 0.5501 0.3537
Au 0.6145 0.0424 0.3208
N 0.3053 0.8494 0.7701
N 0.9257 0.4228 0.9539

E_tot (eV/atom): -2.56



4.
## CdAu3N (GGA-PBE)

Data for CdAu3N after structural relaxation.

Lattice parameters (Å, degrees): 5.2880 5.2880 5.2880 90.00 90.00 90.00
Positions (direct):
Cd 0.0000 0.0000 0.0000
Au 0.0000 0.0000 0.5000
Au 0.0000 0.5000 0.0000
Au 0.5000 0.0000 0.0000
N 0.5000 0.5000 0.5000

E_tot (eV/atom): -2.15



5.
## CdAu2N (GGA-PBE)

Data for CdAu2N after structural relaxation.

Lattice parameters (Å, degrees): 7.1198 7.1198 7.1198 135.91 135.91 64.12
Positions (direct):
Cd 0.0000 0.0000 0.0000
Cd 0.7500 0.2500 0.5000
Au 0.2900 0.6250 0.1650
Au 0.3750 0.5400 0.6650
Au 0.4600 0.1250 0.8350
Au 0.8750 0.7100 0.3350
N 0.2500 0.7500 0.5000
N 0.5000 0.5000 0.0000

E_tot (eV/atom): -3.31



6.
## Cd3AuN (GGA-PBE)

Data for Cd3AuN after structural relaxation.

Lattice parameters (Å, degrees): 4.5997 4.5997 4.5997 90.00 90.00 90.00
Positions (direct):
Cd 0.0000 0.0000 0.5000
Cd 0.0000 0.5000 0.0000
Cd 0.5000 0.0000 0.0000
Au 0.5000 0.5000 0.5000
N 0.0000 0.0000 0.0000

E_tot (eV/atom): -2.54